a) Here is crystalline SiMoW2 at its relaxed geometry from the Alexandria database. Energies are from PBE.

abc: 2.7749 2.7749 8.3629
angles: 90.00 90.00 108.11
Last column: nearest neighbours and their distance in Å.
Atoms (fractional coordinates):
Si (0.0000, 0.0000, 0.0000)  4 W 2.57, 4 Si 2.77
Mo (0.0000, 0.0000, 0.5000)  4 W 2.74, 4 Mo 2.77
W (0.5000, 0.5000, 0.2370)  2 Si 2.57, 2 Mo 2.74, 4 W 2.77
W (0.5000, 0.5000, 0.7630)  2 Si 2.57, 2 Mo 2.74, 4 W 2.77

total magnetic moment = 0.00 μB/f.u.
theoretical density = 13.34 Mg/m³
crystal system = orthorhombic



b) Here is crystalline SiMoW2 at its relaxed geometry from the Alexandria database. Energies are from PBE.

abc: 4.3888 4.3888 3.2079
angles: 90.00 90.00 98.98
Last column: nearest neighbours and their distance in Å.
Atoms (fractional coordinates):
Si (0.0000, 0.0000, 0.0000)  8 W 2.72, 2 Mo 2.85
Mo (0.5000, 0.5000, 0.0000)  8 W 2.72, 2 Si 2.85
W (0.0000, 0.5000, 0.5000)  4 Mo 2.72, 4 Si 2.72, 2 W 2.85
W (0.5000, 0.0000, 0.5000)  4 Mo 2.72, 4 Si 2.72, 2 W 2.85

total magnetic moment = 0.00 μB/f.u.
theoretical density = 13.38 Mg/m³
crystal system = orthorhombic



In terms of stability, a) leads; the second structure lies 8.6 kJ/mol of atoms higher.



a) Here is crystalline SiMoW2 at its relaxed geometry from the Alexandria database. Energies are from PBE.

abc: 9.0261 9.0261 9.0261
angles: 18.11 18.11 18.11
Last column: nearest neighbours and their distance in Å.
Atoms (fractional coordinates):
Si (0.0000, 0.0000, 0.0000)  3 Mo 2.65, 3 W 2.68, 6 Si 2.84
Mo (0.7447, 0.7447, 0.7447)  3 Si 2.65, 6 Mo 2.84, 3 W 2.85
W (0.2539, 0.2539, 0.2539)  3 Si 2.68, 9 W 2.84-2.87
W (0.4987, 0.4987, 0.4987)  9 W 2.84-2.87, 3 Mo 2.85

total magnetic moment = 0.00 μB/f.u.
theoretical density = 13.17 Mg/m³
crystal system = trigonal



b) Here is crystalline SiMoW2 at its relaxed geometry from the Alexandria database. Energies are from PBE.

abc: 4.4037 4.4037 4.4037
angles: 60.00 60.00 60.00
Last column: nearest neighbours and their distance in Å.
Atoms (fractional coordinates):
Si (0.0000, 0.0000, 0.0000)  8 W 2.70
Mo (0.5000, 0.5000, 0.5000)  8 W 2.70
W (0.2500, 0.2500, 0.2500)  4 Mo 2.70, 4 Si 2.70
W (0.7500, 0.7500, 0.7500)  4 Mo 2.70, 4 Si 2.70

total magnetic moment = 0.00 μB/f.u.
theoretical density = 13.52 Mg/m³
crystal system = cubic



In terms of stability, b) leads; the second structure lies 9.9 kJ/mol of atoms higher.



a) Here is crystalline SiMoW2 at its relaxed geometry from the Alexandria database. Energies are from PBE.

abc: 2.8312 2.8312 7.5889
angles: 90.00 90.00 90.00
Last column: nearest neighbours and their distance in Å.
Atoms (fractional coordinates):
Si (0.0000, 0.0000, 0.0000)  8 W 2.65, 4 Si 2.83
Mo (0.0000, 0.0000, 0.5000)  4 Mo 2.83, 8 W 2.88
W (0.5000, 0.5000, 0.2281)  4 Si 2.65, 4 W 2.83, 4 Mo 2.88
W (0.5000, 0.5000, 0.7719)  4 Si 2.65, 4 W 2.83, 4 Mo 2.88

total magnetic moment = 0.00 μB/f.u.
theoretical density = 13.42 Mg/m³
crystal system = tetragonal



b) Here is crystalline SiMoW2 at its relaxed geometry from the Alexandria database. Energies are from PBE.

abc: 5.1231 5.1231 2.7871
angles: 100.57 100.57 116.99
Last column: nearest neighbours and their distance in Å.
Atoms (fractional coordinates):
Si (0.0000, 0.0000, 0.0000)  2 Mo 2.68, 4 W 2.68, 2 Si 2.79
Mo (0.5000, 0.5000, 0.0000)  2 Si 2.68, 4 W 2.68, 2 Mo 2.79
W (0.0000, 0.5000, 0.5000)  4 W 2.68-2.79, 2 Mo 2.68, 2 Si 2.68
W (0.5000, 0.0000, 0.5000)  4 W 2.68-2.79, 2 Mo 2.68, 2 Si 2.68

total magnetic moment = 0.00 μB/f.u.
theoretical density = 13.38 Mg/m³
crystal system = monoclinic



In terms of stability, b) leads; the second structure lies 12.1 kJ/mol of atoms higher.



a) Here is crystalline YSiMo3 at its relaxed geometry from the Alexandria database. Energies are from PBE.

abc: 4.8018 4.8018 4.8018
angles: 90.00 90.00 90.00
Last column: nearest neighbours and their distance in Å.
Atoms (fractional coordinates):
Y (0.0000, 0.0000, 0.0000)  6 Mo 2.40
Si (0.5000, 0.5000, 0.5000)  12 Mo 3.40
Mo (0.0000, 0.0000, 0.5000)  2 Y 2.40
Mo (0.0000, 0.5000, 0.0000)  2 Y 2.40
Mo (0.5000, 0.0000, 0.0000)  2 Y 2.40

total magnetic moment = 0.00 μB/f.u.
theoretical density = 6.07 Mg/m³
crystal system = cubic



b) Here is crystalline YSiMo3 at its relaxed geometry from the Alexandria database. Energies are from PBE.

abc: 4.6250 4.6250 4.6250
angles: 90.00 90.00 90.00
Last column: nearest neighbours and their distance in Å.
Atoms (fractional coordinates):
Y (0.0000, 0.0000, 0.0000)  12 Mo 3.27
Si (0.5000, 0.5000, 0.5000)  6 Mo 2.31
Mo (0.0000, 0.5000, 0.5000)  2 Si 2.31
Mo (0.5000, 0.0000, 0.5000)  2 Si 2.31
Mo (0.5000, 0.5000, 0.0000)  2 Si 2.31

total magnetic moment = 0.00 μB/f.u.
theoretical density = 6.79 Mg/m³
crystal system = cubic



In terms of stability, b) leads; the second structure lies 198.6 kJ/mol of atoms higher.